The following is a GGA-PBE calculation of a geometry-optimized SnHg2S4 structure, from Alexandria.

a = 5.204 Å, b = 5.204 Å, c = 13.007 Å
α = 90.00°, β = 90.00°, γ = 90.00°
Sites, in units of the cell vectors:
Sn 0.000 0.000 0.000
Sn 0.500 0.500 0.500
Hg 0.000 0.000 0.386
Hg 0.000 0.000 0.614
Hg 0.500 0.500 0.114
Hg 0.500 0.500 0.886
S 0.000 0.000 0.200
S 0.000 0.000 0.800
S 0.000 0.500 0.000
S 0.000 0.500 0.500
S 0.500 0.000 0.000
S 0.500 0.000 0.500
S 0.500 0.500 0.300
S 0.500 0.500 0.700

Properties
Space group = I4/mmm
E_form (uncorrected) = 268.0 meV per atom

=====

The following is a GGA-PBE calculation of a geometry-optimized Re3Pb structure, from Alexandria.

a = 5.472 Å, b = 10.519 Å, c = 4.676 Å
α = 90.00°, β = 90.00°, γ = 90.00°
Sites, in units of the cell vectors:
Re 0.000 0.077 0.250
Re 0.000 0.923 0.750
Re 0.244 0.335 0.250
Re 0.244 0.665 0.750
Re 0.256 0.165 0.750
Re 0.256 0.835 0.250
Re 0.500 0.423 0.750
Re 0.500 0.577 0.250
Re 0.744 0.165 0.750
Re 0.744 0.835 0.250
Re 0.756 0.335 0.250
Re 0.756 0.665 0.750
Pb 0.000 0.406 0.750
Pb 0.000 0.594 0.250
Pb 0.500 0.094 0.250
Pb 0.500 0.906 0.750

Properties
Space group = Cmcm
Distance to the lowest polymorph of the same formula = 201 meV per atom

=====

The following is a GGA-PBE calculation of a geometry-optimized Tb2ScCuSe5 structure, from Alexandria.

a = 8.800 Å, b = 8.800 Å, c = 11.873 Å
α = 90.00°, β = 90.00°, γ = 154.09°
Sites, in units of the cell vectors:
Tb 0.110 0.890 0.500
Tb 0.126 0.874 0.121
Tb 0.874 0.126 0.621
Tb 0.890 0.110 0.000
Sc 0.191 0.809 0.825
Sc 0.809 0.191 0.325
Cu 0.432 0.568 0.269
Cu 0.568 0.432 0.769
Se 0.045 0.955 0.878
Se 0.286 0.714 0.482
Se 0.308 0.692 0.162
Se 0.353 0.647 0.815
Se 0.498 0.502 0.594
Se 0.502 0.498 0.094
Se 0.647 0.353 0.315
Se 0.692 0.308 0.662
Se 0.714 0.286 0.982
Se 0.955 0.045 0.378

Properties
Space group = Cmc2_1
E_form (uncorrected) = -1520.4 meV per atom

=====

Asked for N(E_F) across the records above, the calculation gives 0.61, 0.60, 0.01 states/eV per atom in order.
Asked for E across the records above, the calculation gives -2.75, -9.43, -5.64 eV/atom in order.